## FeNi2AsN (PBE)

Data for crystalline FeNi2AsN at its relaxed geometry.

Lattice parameters (Å, degrees): 3.839 3.839 3.845 90.00 90.00 90.00
Site moments in Bohr magnetons follow the coordinates.
Fractional positions:
1 Ni 0.000 0.500 0.000  0.03
2 N 0.000 0.000 0.000  0.02
3 Fe 0.000 0.000 0.500  2.17
4 As 0.500 0.500 0.500  -0.02
5 Ni 0.500 0.000 0.000  0.03

Properties
- DOS at the Fermi energy: 3.627 states/eV per cell
- Electronic total energy: -6.568 eV per atom
- Raw formation energy: 0.03 eV per atom